Version a
Below is an optimized crystal structure of Ce6GaSb, with properties calculated at the PBE level. Values from VASP.

Calculated values
symmetry: C2/m (12)
Fermi-level density of states: 2.729 states/eV/atom

Quantum ESPRESSO input file:
```
&SYSTEM
  ibrav = 0, nat = 8, ntyp = 3
/
ATOMIC_SPECIES
Ce 140.12 Ce.upf
Ga 69.72 Ga.upf
Sb 121.76 Sb.upf
CELL_PARAMETERS angstrom
3.938 -4.907 0.000
3.938 4.907 0.000
-2.186 0.000 6.042
ATOMIC_POSITIONS crystal
Ce 0.098 0.665 0.687
Ce 0.323 0.323 0.891
Ce 0.335 0.902 0.313
Ce 0.665 0.098 0.687
Ce 0.677 0.677 0.109
Ce 0.902 0.335 0.313
Ga 0.000 0.000 0.000
Sb 0.500 0.500 0.500
```

***

Version b
Below is an optimized crystal structure of Ce6GaSb, with properties calculated at the PBE level. Values from VASP.

Calculated values
symmetry: P4/mmm (123)
Fermi-level density of states: 2.756 states/eV/atom

Quantum ESPRESSO input file:
```
&SYSTEM
  ibrav = 0, nat = 8, ntyp = 3
/
ATOMIC_SPECIES
Ce 140.12 Ce.upf
Ga 69.72 Ga.upf
Sb 121.76 Sb.upf
CELL_PARAMETERS angstrom
4.705 0.000 0.000
0.000 4.705 0.000
0.000 0.000 9.364
ATOMIC_POSITIONS crystal
Ce 0.000 0.000 0.000
Ce 0.000 0.000 0.500
Ce 0.000 0.500 0.244
Ce 0.000 0.500 0.756
Ce 0.500 0.000 0.244
Ce 0.500 0.000 0.756
Ga 0.500 0.500 0.000
Sb 0.500 0.500 0.500
```

***

Which is the most stable structure? version b is the most stable.

***

Version a
Below is an optimized crystal structure of CeSc2Ga, with properties calculated at the PBE level. Values from VASP.

Calculated values
symmetry: R3m (160)
Fermi-level density of states: 2.641 states/eV/atom

Quantum ESPRESSO input file:
```
&SYSTEM
  ibrav = 0, nat = 4, ntyp = 3
/
ATOMIC_SPECIES
Ce 140.12 Ce.upf
Sc 44.96 Sc.upf
Ga 69.72 Ga.upf
CELL_PARAMETERS angstrom
2.348 1.355 5.322
-2.348 1.355 5.322
0.000 -2.711 5.322
ATOMIC_POSITIONS crystal
Ce 0.000 0.000 0.000
Sc 0.552 0.552 0.552
Sc 0.786 0.786 0.786
Ga 0.200 0.200 0.200
```

***

Version b
Below is an optimized crystal structure of CeSc2Ga, with properties calculated at the PBE level. Values from VASP.

Calculated values
symmetry: P4/mmm (123)
Fermi-level density of states: 2.210 states/eV/atom

Quantum ESPRESSO input file:
```
&SYSTEM
  ibrav = 0, nat = 4, ntyp = 3
/
ATOMIC_SPECIES
Ce 140.12 Ce.upf
Sc 44.96 Sc.upf
Ga 69.72 Ga.upf
CELL_PARAMETERS angstrom
4.557 0.000 0.000
0.000 4.557 0.000
0.000 0.000 4.345
ATOMIC_POSITIONS crystal
Ce 0.000 0.000 0.000
Sc 0.000 0.500 0.500
Sc 0.500 0.000 0.500
Ga 0.500 0.500 0.000
```

***

Version c
Below is an optimized crystal structure of CeSc2Ga, with properties calculated at the PBE level. Values from VASP.

Calculated values
symmetry: R-3m (166)
Fermi-level density of states: 1.549 states/eV/atom

Quantum ESPRESSO input file:
```
&SYSTEM
  ibrav = 0, nat = 4, ntyp = 3
/
ATOMIC_SPECIES
Ce 140.12 Ce.upf
Sc 44.96 Sc.upf
Ga 69.72 Ga.upf
CELL_PARAMETERS angstrom
1.642 0.948 9.880
-1.642 0.948 9.880
0.000 -1.896 9.880
ATOMIC_POSITIONS crystal
Ce 0.000 0.000 0.000
Sc 0.241 0.241 0.241
Sc 0.759 0.759 0.759
Ga 0.500 0.500 0.500
```

***

Version d
Below is an optimized crystal structure of CeSc2Ga, with properties calculated at the PBE level. Values from VASP.

Calculated values
symmetry: P4/mmm (123)
Fermi-level density of states: 1.359 states/eV/atom

Quantum ESPRESSO input file:
```
&SYSTEM
  ibrav = 0, nat = 4, ntyp = 3
/
ATOMIC_SPECIES
Ce 140.12 Ce.upf
Sc 44.96 Sc.upf
Ga 69.72 Ga.upf
CELL_PARAMETERS angstrom
3.260 0.000 0.000
0.000 3.260 0.000
0.000 0.000 8.480
ATOMIC_POSITIONS crystal
Ce 0.000 0.000 0.000
Sc 0.500 0.500 0.289
Sc 0.500 0.500 0.711
Ga 0.000 0.000 0.500
```

***

Which is the most stable structure? version d is the most stable.